Entry from the Alexandria database: a relaxed structure of Rb2MnClF6 (GGA+U).

Summary:
DOS(E_F) = 0.00 states/eV per cell
calculated total energy = -88.588 eV/cell

Geometry as CIF:
```
data_Rb2MnClF6
_chemical_formula_sum 'Rb4 Mn2 Cl2 F12'
_cell_length_a 6.7690
_cell_length_b 6.7690
_cell_length_c 8.5376
_cell_angle_alpha 90.00
_cell_angle_beta 90.00
_cell_angle_gamma 90.00
_space_group_name_H-M_alt 'I 4/m m m'
_space_group_IT_number 139
_space_group_name_Hall '-I 4 2'
loop_
_atom_site_label
_atom_site_fract_x
_atom_site_fract_y
_atom_site_fract_z
Rb1 0.0000 0.5000 0.2500
Mn1 0.0000 0.0000 0.0000
Cl1 0.0000 0.0000 0.5000
F1 0.0000 0.0000 0.2191
F2 0.1928 0.1928 0.0000
```